# 1
! BaGaAgAu2 (PBE, optimized geometry); values from VASP
! **Energy of formation**: -364 meV per atom
! **Theoretical density**: 9.02 g/cm³
! **E**: -3.24 eV/atom
! **Fermi-level density of states**: 0.40 states/eV per atom
! **Energy relative to the lowest polymorph listed for this composition**: 0.43 eV per formula unit
&SYSTEM
  ibrav = 0, nat = 5, ntyp = 4
/
ATOMIC_SPECIES
Ba 137.33 Ba.upf
Au 196.97 Au.upf
Ag 107.87 Ag.upf
Ga 69.72 Ga.upf
CELL_PARAMETERS angstrom
5.0710 0.0000 0.0000
0.0000 5.0710 0.0000
0.0000 0.0000 5.0730
ATOMIC_POSITIONS angstrom
Ba 2.5355 2.5355 2.5365
Au 0.0000 2.5355 0.0000
Au 2.5355 0.0000 0.0000
Ag 0.0000 0.0000 2.5365
Ga 0.0000 0.0000 0.0000

# 2
! LaCuSn (PBE, optimized geometry); values from VASP
! **Energy of formation**: -523 meV per atom
! **Theoretical density**: 7.43 g/cm³
! **E**: -4.87 eV/atom
! **Fermi-level density of states**: 0.16 states/eV per atom
&SYSTEM
  ibrav = 0, nat = 6, ntyp = 3
/
ATOMIC_SPECIES
La 138.91 La.upf
Cu 63.55 Cu.upf
Sn 118.71 Sn.upf
CELL_PARAMETERS angstrom
-1.7665 6.6738 -0.2368
-2.8715 -0.8925 -3.7325
-2.9058 -2.2225 2.7668
ATOMIC_POSITIONS angstrom
La -2.2140 3.2326 0.3741
La -3.2121 -1.6347 -0.7719
Cu -2.6954 1.1139 -1.8230
Cu -2.7301 0.4842 1.4304
Sn -0.4928 0.2257 -0.2311
Sn -4.9335 1.3720 -0.1668